{
  "formula": "BaHoO",
  "functional": "GGA-PBE",
  "state": "optimized geometry",
  "magmom_total_mub_per_cell": 1.819,
  "total_energy_ev_per_atom": -5.154,
  "formation_energy_uncorrected_ev_per_atom": -1.33,
  "lattice_angstrom": [[3.9130, 0.0000, 0.0000], [-1.9565, 3.3832, 0.0000], [0.0000, 0.0000, 14.2088]],
  "species": ["O", "O", "Ho", "Ho", "Ba", "Ba"],
  "fractional_positions": [[0.3886, 0.7772, 0.0000], [0.7141, 0.4282, 0.5000], [0.7249, 0.4499, 0.3596], [0.7249, 0.4499, 0.6404], [0.0570, 0.1140, 0.1189], [0.0570, 0.1140, 0.8811]]
}

---

{
  "formula": "BaHoO2",
  "functional": "GGA-PBE",
  "state": "optimized geometry",
  "magmom_total_mub_per_cell": 0.000,
  "total_energy_ev_per_atom": -6.870,
  "formation_energy_uncorrected_ev_per_atom": -2.77,
  "lattice_angstrom": [[-1.7971, 2.4291, 1.8309], [-3.3024, 0.8339, -0.9389], [-3.9401, -3.4629, 4.1356]],
  "species": ["O", "O", "Ho", "Ba"],
  "fractional_positions": [[0.2734, 0.2734, 0.1797], [0.7266, 0.7266, 0.8203], [0.0000, 0.0000, 0.0000], [0.5000, 0.5000, 0.5000]]
}

---

{
  "formula": "Ba2HoO",
  "functional": "GGA-PBE",
  "state": "optimized geometry",
  "magmom_total_mub_per_cell": 0.032,
  "total_energy_ev_per_atom": -4.255,
  "formation_energy_uncorrected_ev_per_atom": -0.91,
  "lattice_angstrom": [[-1.7962, -3.3380, -0.3205], [1.6944, -3.1932, 1.1851], [-4.2154, -0.8456, 9.8543]],
  "species": ["O", "Ba", "Ba", "Ho"],
  "fractional_positions": [[0.5000, 0.5000, 0.5000], [0.1162, 0.1162, 0.6513], [0.8838, 0.8838, 0.3487], [0.0000, 0.0000, 0.0000]]
}

---

{
  "formula": "BaHoO2",
  "functional": "GGA-PBE",
  "state": "optimized geometry",
  "magmom_total_mub_per_cell": 0.000,
  "total_energy_ev_per_atom": -6.560,
  "formation_energy_uncorrected_ev_per_atom": -2.46,
  "lattice_angstrom": [[6.5946, 0.0000, 0.0000], [0.0000, 6.6010, -0.0300], [0.0000, -3.0270, 5.8661]],
  "species": ["Ho", "Ho", "Ba", "Ba", "O", "O", "O", "O"],
  "fractional_positions": [[0.5000, 0.0000, 0.0000], [0.0000, 0.0000, 0.0000], [0.2500, 0.6319, 0.3681], [0.7500, 0.3681, 0.6319], [0.7500, 0.2111, 0.2158], [0.7500, 0.7842, 0.7889], [0.2500, 0.2158, 0.2111], [0.2500, 0.7889, 0.7842]]
}

---

{
  "formula": "Ba5HoO6",
  "functional": "GGA-PBE",
  "state": "optimized geometry",
  "magmom_total_mub_per_cell": 0.000,
  "total_energy_ev_per_atom": -6.228,
  "formation_energy_uncorrected_ev_per_atom": -2.57,
  "lattice_angstrom": [[-1.3893, -3.6185, -5.3935], [3.1181, -5.8960, 0.4223], [-3.0586, -5.1968, 2.9093]],
  "species": ["Ba", "Ba", "Ba", "Ba", "Ba", "Ho", "O", "O", "O", "O", "O", "O"],
  "fractional_positions": [[0.0000, 0.6675, 0.6650], [0.5000, 0.5000, 0.0000], [0.5000, 0.8356, 0.3289], [0.0000, 0.3325, 0.3350], [0.5000, 0.1644, 0.6711], [0.0000, 0.0000, 0.0000], [0.2188, 0.6399, 0.2864], [0.2262, 0.2131, 0.0000], [0.2188, 0.9263, 0.7136], [0.7812, 0.3601, 0.7136], [0.7812, 0.0737, 0.2864], [0.7738, 0.7869, 0.0000]]
}

---

{
  "formula": "Ba3HoO4",
  "functional": "GGA-PBE",
  "state": "optimized geometry",
  "magmom_total_mub_per_cell": 1.568,
  "total_energy_ev_per_atom": -6.373,
  "formation_energy_uncorrected_ev_per_atom": -2.60,
  "lattice_angstrom": [[6.2639, 0.0000, 0.0000], [0.0000, 7.3867, 0.0000], [0.0000, 0.0000, 8.5441]],
  "species": ["Ba", "Ba", "Ba", "Ba", "Ba", "Ba", "O", "O", "O", "O", "O", "O", "O", "O", "Ho", "Ho"],
  "fractional_positions": [[0.0177, 0.6648, 0.7504], [0.5177, 0.3352, 0.7496], [0.0177, 0.6648, 0.2496], [0.0187, 0.1641, 0.5000], [0.5177, 0.3352, 0.2504], [0.5187, 0.8359, 0.0000], [0.5991, 0.6969, 0.7146], [0.5991, 0.6969, 0.2854], [0.1615, 0.8423, 0.5000], [0.5979, 0.1166, 0.5000], [0.0991, 0.3031, 0.2146], [0.0979, 0.8834, 0.0000], [0.0991, 0.3031, 0.7854], [0.6615, 0.1577, 0.0000], [0.0037, 0.1694, 0.0000], [0.5037, 0.8306, 0.5000]]
}

---

{
  "formula": "BaHo2O4",
  "functional": "GGA-PBE",
  "state": "optimized geometry",
  "magmom_total_mub_per_cell": 0.000,
  "total_energy_ev_per_atom": -7.676,
  "formation_energy_uncorrected_ev_per_atom": -3.26,
  "lattice_angstrom": [[-1.7151, 2.6162, -1.4337], [-3.3301, -4.8460, -0.7297], [-5.2096, 2.0721, 10.0135]],
  "species": ["Ho", "Ho", "Ho", "Ho", "Ba", "Ba", "O", "O", "O", "O", "O", "O", "O", "O"],
  "fractional_positions": [[0.1345, 0.2690, 0.4293], [0.1345, 0.2690, 0.0707], [0.8655, 0.7310, 0.9293], [0.8655, 0.7310, 0.5707], [0.3881, 0.7763, 0.2500], [0.6119, 0.2237, 0.7500], [0.2402, 0.4803, 0.6015], [0.5000, 0.0000, 0.0000], [0.5000, 0.0000, 0.5000], [0.2402, 0.4803, 0.8985], [0.9374, 0.8748, 0.7500], [0.0626, 0.1252, 0.2500], [0.7598, 0.5197, 0.3985], [0.7598, 0.5197, 0.1015]]
}

---

{
  "formula": "BaHo2O4",
  "functional": "GGA-PBE",
  "state": "optimized geometry",
  "magmom_total_mub_per_cell": 0.000,
  "total_energy_ev_per_atom": -7.127,
  "formation_energy_uncorrected_ev_per_atom": -2.71,
  "lattice_angstrom": [[-2.8199, -1.4843, -0.2556], [-0.2737, -0.6197, 6.6188], [-3.0463, 5.3508, 2.5348]],
  "species": ["Ho", "Ho", "Ba", "O", "O", "O", "O"],
  "fractional_positions": [[0.0000, 0.7966, 0.2059], [0.0000, 0.5300, 0.9387], [0.5000, 0.1633, 0.5723], [0.5000, 0.8282, 0.9072], [0.5000, 0.4984, 0.2375], [0.5000, 0.4002, 0.8085], [0.5000, 0.9267, 0.3357]]
}

---

Please write out number 4 again, unchanged.
{
  "formula": "BaHoO2",
  "functional": "GGA-PBE",
  "state": "optimized geometry",
  "magmom_total_mub_per_cell": 0.000,
  "total_energy_ev_per_atom": -6.560,
  "formation_energy_uncorrected_ev_per_atom": -2.46,
  "lattice_angstrom": [[6.5946, 0.0000, 0.0000], [0.0000, 6.6010, -0.0300], [0.0000, -3.0270, 5.8661]],
  "species": ["Ho", "Ho", "Ba", "Ba", "O", "O", "O", "O"],
  "fractional_positions": [[0.5000, 0.0000, 0.0000], [0.0000, 0.0000, 0.0000], [0.2500, 0.6319, 0.3681], [0.7500, 0.3681, 0.6319], [0.7500, 0.2111, 0.2158], [0.7500, 0.7842, 0.7889], [0.2500, 0.2158, 0.2111], [0.2500, 0.7889, 0.7842]]
}

---

Which formula does entry 3 have? Ba2HoO